VASP calculation (PBE-GGA) on a relaxed PdRh3Se8 crystal.

a b c (Å): 6.282 6.282 8.119
angles (deg): 119.42 119.42 72.99
Positions (direct):
Pd 0.000 0.000 0.000
Rh 0.000 0.500 0.500
Rh 0.500 0.000 0.500
Rh 0.500 0.500 0.000
Se 0.042 0.042 0.345
Se 0.043 0.536 0.835
Se 0.459 0.459 0.662
Se 0.464 0.957 0.165
Se 0.536 0.043 0.835
Se 0.541 0.541 0.338
Se 0.957 0.464 0.165
Se 0.958 0.958 0.655

Summary:
Size of the total moment in μB/atom: 0.00
Calculated density in g/cm³: 7.168
Formation energy without anion corrections in meV per atom: -357

***

VASP calculation (PBE-GGA) on a relaxed NdErThCd crystal.

a b c (Å): 3.630 3.630 8.957
angles (deg): 90.00 90.00 90.00
Positions (direct):
Nd 0.000 0.000 0.000
Er 0.000 0.000 0.464
Th 0.500 0.500 0.726
Cd 0.500 0.500 0.246

Summary:
Energy relative to the elements in meV per atom: -161
Relative energy among the computed polymorphs in eV/atom: 0.000
Size of the total moment in μB/atom: 0.00
Calculated density in g/cm³: 9.230